Record 1
Computed, not measured: a relaxed TbCeSmTm3 crystal at the PBE level of DFT.

Results
DFT formation energy (eV per atom): 0.15
M_tot (μB/cell): 2.6

Cell and atoms, written as extended XYZ:
```
12
Lattice="2.888 -5.652 0.000 2.888 5.652 0.000 0.000 0.000 11.572" Properties=species:S:1:pos:R:3 pbc="T T T"
Tb 2.888 3.669 8.679
Tb 2.888 -3.669 2.893
Ce 2.888 0.038 8.679
Ce 2.888 -0.038 2.893
Sm 0.000 0.000 0.000
Sm 0.000 0.000 5.786
Tm 2.888 3.738 2.893
Tm 2.888 1.930 0.044
Tm 2.888 1.930 5.742
Tm 2.888 -1.930 5.830
Tm 2.888 -1.930 11.528
Tm 2.888 -3.738 8.679
```

***

Record 2
Computed, not measured: a relaxed Dy2ThRh2 crystal at the PBE level of DFT.

Results
DFT formation energy (eV per atom): -0.67
M_tot (μB/cell): 0.0

Cell and atoms, written as extended XYZ:
```
10
Lattice="1.909 -15.549 0.000 1.909 15.549 0.000 0.000 0.000 4.230" Properties=species:S:1:pos:R:3 pbc="T T T"
Dy 1.909 14.119 3.172
Dy 1.909 6.701 1.057
Dy 1.909 -6.701 3.172
Dy 1.909 -14.119 1.057
Th 1.909 3.813 3.172
Th 1.909 -3.813 1.057
Rh 1.909 11.071 3.172
Rh 1.909 1.029 3.172
Rh 1.909 -1.029 1.057
Rh 1.909 -11.071 1.057
```